# 1
Here is AlAs2Cl at its PBEsol-relaxed geometry from Alexandria via LeMat-Bulk. Energies are from meta-GGA SCAN.

Structure (extended XYZ):
```
4
Lattice="5.4802 -1.4797 0.0000 5.4802 1.4797 0.0000 -1.3916 0.0000 5.2584" Properties=species:S:1:pos:R:3 pbc="T T T"
Al 0.0000 0.0000 0.0000
As 4.4844 0.0000 3.0861
As 6.6165 0.0000 1.9130
Cl 2.2397 0.0000 5.1664
```

Formation energy without anion corrections = -297 meV/atom
Total moment = 0.00 μB per cell
D(E_F) = 1.0 states/eV/cell
Relative energy among the computed polymorphs = 0.00 eV/f.u.
E = -14.325 eV per atom



# 2
Here is AlAs2Cl at its PBEsol-relaxed geometry from Alexandria via LeMat-Bulk. Energies are from meta-GGA SCAN.

Structure (extended XYZ):
```
4
Lattice="3.1195 0.0000 0.0000 0.0000 3.3933 0.0000 0.0000 0.0000 7.0871" Properties=species:S:1:pos:R:3 pbc="T T T"
Al 0.0000 0.0000 0.0000
As 1.5597 1.6967 1.4150
As 1.5597 1.6967 5.6721
Cl 0.0000 0.0000 3.5435
```

Formation energy without anion corrections = -2 meV/atom
Total moment = 0.00 μB per cell
D(E_F) = 1.5 states/eV/cell
Relative energy among the computed polymorphs = 1.18 eV/f.u.
E = -14.030 eV per atom